Record 1
{
  "formula": "Ce4DyO9",
  "functional": "GGA-PBEsol",
  "state": "relaxed",
  "mass_density_kg_m3": 7275,
  "raw_formation_energy_ev_per_atom": -3.481,
  "lattice_angstrom": [[3.777, 0.000, 0.000], [0.000, 5.454, 0.000], [-1.889, -2.727, 9.606]],
  "species": ["Ce", "Ce", "Ce", "Ce", "Dy", "O", "O", "O", "O", "O", "O", "O", "O", "O"],
  "fractional_positions": [[0.199, 0.192, 0.397], [0.395, 0.381, 0.789], [0.605, 0.592, 0.211], [0.801, 0.795, 0.603], [0.000, 0.046, 0.000], [0.303, 0.543, 0.606], [0.917, 0.662, 0.833], [0.083, 0.829, 0.167], [0.298, 0.041, 0.597], [0.896, 0.146, 0.793], [0.697, 0.938, 0.394], [0.500, 0.253, 0.000], [0.104, 0.353, 0.207], [0.702, 0.444, 0.403]]
}

***

Record 2
{
  "formula": "FeBiAs2Br",
  "functional": "GGA-PBEsol",
  "state": "relaxed",
  "mass_density_kg_m3": 7892,
  "raw_formation_energy_ev_per_atom": 0.288,
  "lattice_angstrom": [[-0.811, 2.918, -3.351], [-1.074, -3.434, -2.731], [-4.869, 0.346, 1.480]],
  "species": ["As", "As", "Bi", "Br", "Fe"],
  "fractional_positions": [[0.000, 0.500, 0.000], [0.500, 0.000, 0.000], [0.500, 0.500, 0.500], [0.000, 0.000, 0.500], [0.000, 0.000, 0.000]]
}

***

Record 3
{
  "formula": "DyNi4As2",
  "functional": "GGA-PBEsol",
  "state": "relaxed",
  "final_energy_ev_per_cell": -89.16,
  "mass_density_kg_m3": 9572,
  "lattice_angstrom": [[-2.237, 2.530, 1.584], [-4.518, -5.184, 1.898], [3.489, -0.780, 6.173]],
  "species": ["Dy", "Dy", "Ni", "Ni", "Ni", "Ni", "Ni", "Ni", "Ni", "Ni", "As", "As", "As", "As"],
  "fractional_positions": [[0.000, 0.500, 0.500], [0.500, 0.000, 0.000], [0.500, 0.847, 0.411], [0.000, 0.911, 0.653], [0.000, 0.347, 0.089], [0.500, 0.589, 0.153], [0.500, 0.411, 0.847], [0.000, 0.089, 0.347], [0.500, 0.153, 0.589], [0.000, 0.653, 0.911], [0.500, 0.718, 0.718], [0.500, 0.282, 0.282], [0.000, 0.782, 0.218], [0.000, 0.218, 0.782]]
}